Ce8ReIr2: relaxed, PBE.

Lattice parameters (Å, degrees): 5.744 7.482 7.482 115.87 100.64 100.64
Atoms (fractional coordinates):
1 Ce 0.584 0.090 0.305
2 Ce 0.584 0.305 0.090
3 Ce 0.834 0.634 0.634
4 Ce 0.000 0.222 0.784
5 Ce 0.000 0.784 0.222
6 Ce 0.416 0.916 0.702
7 Ce 0.166 0.372 0.372
8 Ce 0.416 0.702 0.916
9 Ir 0.500 0.311 0.696
10 Ir 0.500 0.696 0.311
11 Re 0.000 0.003 0.003

## Properties
calculated formation energy	-0.24	eV per atom
Fermi-level density of states	28.0	states/eV/f.u.
SG	C2/m
DFT total energy	-7.300	eV per atom